# ZrTl2NiO

An optimized crystal structure of ZrTl2NiO (GGA+U, the Alexandria database).

a = 4.991 Å, b = 4.171 Å, c = 4.991 Å
α = 90.00°, β = 90.00°, γ = 90.00°
Fractional coordinates of all 5 atoms:
Ni 0.500 0.500 0.500
Tl 0.000 0.000 0.500
Tl 0.500 0.000 0.000
O 0.000 0.000 0.000
Zr 0.000 0.500 0.000

E_tot (hartree per atom): -0.1498
DOS at the Fermi energy (states/eV/atom): 0.907
Distance to the lowest polymorph of the same formula (eV/atom): 0.0262
Spin magnetization (μB per atom): 0.000